DFT (SCAN) results for a PBEsol-optimized structure of ZnCo2Se.

Cell: 8.624 2.917 4.023 Å, 90.00 103.76 90.00°
Space group Cm (No. 8)
One atom of each set of equivalent atoms:
1 Zn 0.000 0.000 0.000
2 Co 0.022 0.500 0.507
3 Co 0.239 0.500 0.119
4 Se 0.247 0.000 0.593

E above lowest polymorph ... 0 meV/atom
Energy relative to the elements, uncorrected ... 0.29 eV per atom